## Ca5Tb3H12 (GGA-PBE)

Data for Ca5Tb3H12 after structural relaxation.

The structure belongs to space group Ia-3d (No. 230); the cell edges are 13.2606, 13.2606 and 13.2606 Å and the angles 90.00°, 90.00° and 90.00°. The inequivalent atoms are Ca at (0.0000, 0.0000, 0.0000), Ca at (0.0000, 0.2500, 0.3750), Tb at (0.0000, 0.2500, 0.1250) and H at (0.0045, 0.0712, 0.6568).


## CaTb2H (GGA-PBE)

Data for CaTb2H after structural relaxation.

The structure belongs to space group R-3m (No. 166, hexagonal axes); the cell edges are 3.5909, 3.5909 and 28.5285 Å and the angles 90.00°, 90.00° and 120.00°. The inequivalent atoms are Ca at (0.0000, 0.0000, 0.0000), Tb at (0.0000, 0.0000, 0.1196) and H at (0.0000, 0.0000, 0.5000).


## CaTbH4 (GGA-PBE)

Data for CaTbH4 after structural relaxation.

The structure belongs to space group P4/mmm (No. 123); the cell edges are 3.7253, 3.7253 and 5.3468 Å and the angles 90.00°, 90.00° and 90.00°. The inequivalent atoms are Ca at (0.0000, 0.0000, 0.0000), Tb at (0.5000, 0.5000, 0.5000) and H at (0.0000, 0.5000, 0.2591).


## Ca3Tb5H12 (GGA-PBE)

Data for Ca3Tb5H12 after structural relaxation.

The structure belongs to space group Ia-3d (No. 230); the cell edges are 13.4788, 13.4788 and 13.4788 Å and the angles 90.00°, 90.00° and 90.00°. The inequivalent atoms are Ca at (0.0000, 0.2500, 0.1250), Tb at (0.0000, 0.0000, 0.0000), Tb at (0.0000, 0.2500, 0.3750) and H at (0.0027, 0.0505, 0.6575).


## Ca2TbH6 (GGA-PBE)

Data for Ca2TbH6 after structural relaxation.

The structure belongs to space group Fm-3m (No. 225); the cell edges are 7.9631, 7.9631 and 7.9631 Å and the angles 90.00°, 90.00° and 90.00°. The inequivalent atoms are Ca at (0.2500, 0.2500, 0.2500), Tb at (0.0000, 0.0000, 0.0000) and H at (0.0000, 0.0000, 0.2682).


## CaTb2H8 (GGA-PBE)

Data for CaTb2H8 after structural relaxation.

The structure belongs to space group Immm (No. 71); the cell edges are 3.7073, 5.1812 and 11.0872 Å and the angles 90.00°, 90.00° and 90.00°. The inequivalent atoms are Ca at (0.0000, 0.0000, 0.0000), Tb at (0.0000, 0.0000, 0.3230), H at (0.0000, 0.2200, 0.5000), H at (0.0000, 0.2728, 0.1563) and H at (0.0000, 0.5000, 0.3218).


## Ca2TcH (GGA-PBE)

Data for Ca2TcH after structural relaxation.

The structure belongs to space group I-42d (No. 122); the cell edges are 6.8103, 6.8103 and 7.1960 Å and the angles 90.00°, 90.00° and 90.00°. The inequivalent atoms are Ca at (0.1581, 0.2500, 0.1250), Tc at (0.0000, 0.0000, 0.5000) and H at (0.0000, 0.0000, 0.0000).


## Ca2TcH (GGA-PBE)

Data for Ca2TcH after structural relaxation.

The structure belongs to space group Fm-3m (No. 225); the cell edges are 7.0590, 7.0590 and 7.0590 Å and the angles 90.00°, 90.00° and 90.00°. The inequivalent atoms are Ca at (0.2500, 0.2500, 0.2500), Tc at (0.0000, 0.0000, 0.0000) and H at (0.0000, 0.0000, 0.5000).


| no. | calculated volume (Å³ per atom) | E_tot (eV per atom) |
| --- | --- | --- |
| 1 | 14.57 | -3.60 |
| 2 | 26.55 | -3.68 |
| 3 | 12.37 | -3.96 |
| 4 | 15.30 | -3.88 |
| 5 | 14.03 | -3.33 |
| 6 | 9.68 | -4.06 |
| 7 | 20.86 | -3.92 |
| 8 | 21.98 | -3.61 |